GaBTeRhAu, relaxed, DFT PBE-GGA; E above lowest polymorph = 0.062 eV per atom; SG = Cm (8); formation energy from raw total energies = 22.1 kJ/mol of formula units
1.0
-1.1151 0.6236 3.4118
-0.3070 -2.7684 2.3530
6.6076 0.3001 4.0751
Rh B Te Au Ga
1 1 1 1 1
direct
0.5009 0.6722 0.6132
0.1546 0.3255 0.6536
0.9199 0.0925 0.3535
0.3513 0.5239 0.0685
0.7574 0.9298 0.8482


GaBTeRhAu, relaxed, DFT PBE-GGA; E above lowest polymorph = 0.009 eV per atom; SG = P1 (1); formation energy from raw total energies = -3.3 kJ/mol of formula units
1.0
3.1848 0.0268 -0.0048
1.5933 3.8535 -0.0496
0.0083 0.5459 7.7568
Rh B Te Au Ga
1 1 1 1 1
direct
0.2499 0.9856 0.4170
0.7005 0.0820 0.2406
0.5504 0.3797 0.6218
0.6165 0.2480 0.9701
0.9704 0.5327 0.2135


GaBTeRhAu, relaxed, DFT PBE-GGA; E above lowest polymorph = 0.026 eV per atom; SG = P1 (1); formation energy from raw total energies = 4.9 kJ/mol of formula units
1.0
3.3170 -0.0368 0.0086
-1.6720 3.9906 0.0047
-0.0054 -1.6794 6.8613
Rh B Te Au Ga
1 1 1 1 1
direct
0.5195 0.6720 0.5869
0.0188 0.6747 0.7677
0.7670 0.1745 0.3470
0.9619 0.5677 0.0544
0.2835 0.2201 0.7810


GaBTeRhAu, relaxed, DFT PBE-GGA; E above lowest polymorph = 0.032 eV per atom; SG = P1 (1); formation energy from raw total energies = 7.7 kJ/mol of formula units
1.0
-1.1240 0.5419 2.9433
-3.3070 -2.5497 -0.7785
5.2642 -5.0689 1.1671
Rh B Te Au Ga
1 1 1 1 1
direct
0.3175 0.2001 0.3975
0.7348 0.2381 0.2356
0.4510 0.7748 0.6696
0.5917 0.3508 0.9522
0.2209 0.6642 0.2080


GaBTeRhAu, relaxed, DFT PBE-GGA; E above lowest polymorph = 0.000 eV per atom; SG = P3m1 (156); formation energy from raw total energies = -7.9 kJ/mol of formula units
1.0
-2.6482 2.2610 -0.3502
0.4068 -2.5909 -2.3171
-4.8857 -4.9908 4.7226
Rh B Te Au Ga
1 1 1 1 1
direct
0.3333 0.6667 0.4101
0.6667 0.3333 0.3492
0.0000 0.0000 0.6552
0.6667 0.3333 0.9292
0.3333 0.6667 0.1193


GaBTeRhAu, relaxed, DFT PBE-GGA; E above lowest polymorph = 0.018 eV per atom; SG = Amm2 (38); formation energy from raw total energies = 0.9 kJ/mol of formula units
1.0
3.1046 0.0000 0.0000
0.0000 2.8858 0.0000
0.0000 0.0000 19.7124
Rh B Te Au Ga
2 2 2 2 2
direct
0.0000 0.0000 0.8306
0.0000 0.5000 0.3306
0.5000 0.0000 0.2972
0.5000 0.5000 0.7972
0.5000 0.0000 0.1751
0.5000 0.5000 0.6751
0.5000 0.0000 0.0260
0.5000 0.5000 0.5260
0.0000 0.0000 0.4396
0.0000 0.5000 0.9396


GaBTeRhAu, relaxed, DFT PBE-GGA; E above lowest polymorph = 0.007 eV per atom; SG = Cm (8); formation energy from raw total energies = -4.5 kJ/mol of formula units
1.0
8.6997 0.0000 0.0221
0.0000 3.5032 0.0000
-1.4042 0.0000 5.8842
Rh B Te Au Ga
2 2 2 2 2
direct
0.5903 0.0000 0.0448
0.5903 0.5000 0.5448
0.6490 0.0000 0.7313
0.6490 0.5000 0.2313
0.3474 0.0000 0.2993
0.3474 0.5000 0.7993
0.0710 0.0000 0.5406
0.0710 0.5000 0.0406
0.8793 0.0000 0.1430
0.8793 0.5000 0.6430


GaBTeRhAu, relaxed, DFT PBE-GGA; E above lowest polymorph = 0.090 eV per atom; SG = P1 (1); formation energy from raw total energies = 35.8 kJ/mol of formula units
1.0
-3.3042 -0.1419 0.5326
2.2961 -2.3427 3.1433
0.1451 5.9138 2.6745
Rh B Te Au Ga
1 1 1 1 1
direct
0.9777 0.3023 0.4663
0.0406 0.4198 0.1725
0.7077 0.7663 0.6451
0.4951 0.3248 0.9463
0.3023 0.9450 0.2326


Ga2SiBAu, relaxed, DFT PBE-GGA; SG = P4/mmm (123); formation energy from raw total energies = 564.6 kJ/mol of formula units
1.0
4.8611 0.0000 0.0000
0.0000 4.7439 0.0000
0.0000 0.0000 4.8611
Si B Au Ga
1 1 1 2
direct
0.0000 0.0000 0.0000
0.5000 0.5000 0.5000
0.0000 0.5000 0.0000
0.0000 0.0000 0.5000
0.5000 0.0000 0.0000


GeBAu, relaxed, DFT PBE-GGA; SG = Pnma (62); formation enthalpy at 0 K = 438 meV/atom
1.0
7.2921 0.0000 0.0000
0.0000 4.3481 0.0000
0.0000 0.0000 6.0805
Ge B Au
4 4 4
direct
0.3173 0.2500 0.6096
0.1827 0.7500 0.1096
0.6827 0.7500 0.3904
0.8173 0.2500 0.8904
0.0222 0.2500 0.6517
0.4778 0.7500 0.1517
0.9778 0.7500 0.3483
0.5222 0.2500 0.8483
0.9015 0.2500 0.3073
0.5985 0.7500 0.8073
0.0985 0.7500 0.6927
0.4015 0.2500 0.1927


GeBAu, relaxed, DFT PBE-GGA; SG = Pm (6); formation enthalpy at 0 K = 293 meV/atom
1.0
-1.2063 1.9643 -2.1970
-2.2016 -4.7274 -3.0172
-3.2689 2.5378 4.0638
Ge B Au
2 2 2
direct
0.3130 0.1595 0.2181
0.8133 0.7781 0.5617
0.8129 0.7096 0.1618
0.3128 0.7829 0.1546
0.3131 0.5047 0.6979
0.8130 0.2591 0.9235


GeBAu, relaxed, DFT PBE-GGA; SG = Pm (6); formation enthalpy at 0 K = 290 meV/atom
1.0
-0.1769 0.9618 -2.9184
-5.7043 -4.3583 -1.0846
-4.2211 2.4894 1.0777
Ge B Au
2 2 2
direct
0.8397 0.4349 0.5205
0.8399 0.9830 0.4434
0.3393 0.7505 0.6334
0.8392 0.6615 0.6995
0.8395 0.1011 0.8964
0.3396 0.5580 0.0930


Which formula does entry 7 have?
GaBTeRhAu